# 1
A plane-wave DFT calculation with PBE was carried out for Li7Zn2Hg after structural relaxation.

Results
DFT formation energy = -97 meV/atom
Energy = -1.722 eV per atom

Cell: 4.5205 4.5205 9.6608 Å, 90.00 90.00 120.00°
With the nearest neighbours (Å) after each atom.
Sites, in units of the cell vectors:
Li 0.3333 0.6667 0.3985  4 Li 2.37-2.64, 1 Zn 2.45
Li 0.3333 0.6667 0.1529  2 Li 2.37-2.38
Li 0.0000 0.0000 0.3606  3 Li 2.64, 3 Zn 2.86
Li 0.0000 0.0000 0.7381  3 Zn 2.74, 1 Hg 3.05
Li 0.6667 0.3333 0.5546  4 Zn 2.78-3.03, 3 Li 3.01
Li 0.6667 0.3333 0.9252  3 Li 2.62, 3 Hg 2.89
Li 0.3333 0.6667 0.9066  4 Li 2.38-2.62, 1 Zn 2.46
Zn 0.6667 0.3333 0.2406  11 Li 2.74-3.05
Zn 0.3333 0.6667 0.6523  5 Li 2.45-2.74
Hg 0.0000 0.0000 0.0540  11 Li 2.78-3.05



# 2
A plane-wave DFT calculation with PBE was carried out for Li4ZnHg2 after structural relaxation.

Results
DFT formation energy = -175 meV/atom
Energy = -1.537 eV per atom
Polymorph energy (0 for the lowest one) = 84 meV/atom

Cell: 3.0378 7.2024 7.2054 Å, 118.03 102.17 90.00°
With the nearest neighbours (Å) after each atom.
Sites, in units of the cell vectors:
Li 0.9119 0.2713 0.8239  1 Zn 2.77, 3 Hg 2.81-2.91, 3 Li 3.02-3.04
Li 0.0881 0.7287 0.1761  1 Zn 2.77, 3 Hg 2.81-2.91, 3 Li 3.02-3.04
Li 0.6286 0.3803 0.2572  3 Hg 2.79-2.85, 2 Zn 2.88, 2 Li 3.04
Li 0.3714 0.6197 0.7428  3 Hg 2.79-2.85, 2 Zn 2.88, 2 Li 3.04
Zn 0.0000 0.0000 0.0000  6 Li 2.77-2.88, 2 Hg 2.82, 2 Zn 3.04
Hg 0.7726 0.8149 0.5452  6 Li 2.79-2.91, 1 Zn 2.82, 2 Hg 3.04
Hg 0.2274 0.1851 0.4548  6 Li 2.79-2.91, 1 Zn 2.82, 2 Hg 3.04



# 3
A plane-wave DFT calculation with PBE was carried out for LiZnHg4 after structural relaxation.

Results
DFT formation energy = -59 meV/atom
Energy = -0.791 eV per atom
Polymorph energy (0 for the lowest one) = 0 meV/atom

Cell: 3.3496 3.4011 13.7995 Å, 96.75 90.00 119.50°
With the nearest neighbours (Å) after each atom.
Sites, in units of the cell vectors:
Li 0.5000 0.5000 0.0000  6 Hg 2.84-2.86
Zn 0.0000 0.5000 0.5000  6 Hg 2.92-2.94
Hg 0.7159 0.9318 0.6590  3 Zn 2.92-2.94, 2 Hg 3.22
Hg 0.2841 0.0682 0.3410  3 Zn 2.92-2.94, 2 Hg 3.22
Hg 0.8794 0.2589 0.1516  3 Li 2.84-2.86
Hg 0.1206 0.7411 0.8484  3 Li 2.84-2.86



# 4
A plane-wave DFT calculation with PBE was carried out for Li4Zn2Hg after structural relaxation.

Results
DFT formation energy = -246 meV/atom
Energy = -1.746 eV per atom

Cell: 4.4489 4.4489 6.9558 Å, 71.35 71.35 60.00°
With the nearest neighbours (Å) after each atom.
Sites, in units of the cell vectors:
Li 0.5682 0.5682 0.2953  5 Li 2.65-2.95, 3 Zn 2.72
Li 0.7205 0.7205 0.8384  1 Zn 2.61, 3 Li 2.71, 3 Hg 2.77
Li 0.2795 0.2795 0.1616  1 Zn 2.61, 3 Li 2.71, 3 Hg 2.77
Li 0.4318 0.4318 0.7047  5 Li 2.65-2.95, 3 Zn 2.72
Zn 0.8549 0.8549 0.4353  4 Li 2.61-2.72, 3 Zn 2.70, 1 Hg 2.81
Zn 0.1451 0.1451 0.5647  4 Li 2.61-2.72, 3 Zn 2.70, 1 Hg 2.81
Hg 0.0000 0.0000 0.0000  6 Li 2.77, 2 Zn 2.81



# 5
A plane-wave DFT calculation with PBE was carried out for Li2ZnHg after structural relaxation.

Results
DFT formation energy = -183 meV/atom
Energy = -1.534 eV per atom

Cell: 2.9288 4.1819 5.7448 Å, 90.00 90.00 90.00°
With the nearest neighbours (Å) after each atom.
Sites, in units of the cell vectors:
Hg 0.5000 0.5000 0.7666  6 Li 2.85-2.88, 2 Hg 2.93, 4 Zn 3.05
Li 0.0000 0.0000 0.9884  2 Zn 2.81-2.93, 4 Hg 2.85, 6 Li 2.93-3.02
Li 0.5000 0.5000 0.2676  4 Zn 2.82, 2 Hg 2.87-2.88, 6 Li 2.93-3.02
Zn 0.0000 0.0000 0.4775  6 Li 2.81-2.93, 2 Zn 2.93, 4 Hg 3.05



# 6
A plane-wave DFT calculation with PBE was carried out for Li3Zn2Hg4 after structural relaxation.

Results
DFT formation energy = -216 meV/atom
Energy = -1.272 eV per atom
Polymorph energy (0 for the lowest one) = 2 meV/atom

Cell: 4.7073 5.6711 8.6884 Å, 120.59 90.00 114.52°
With the nearest neighbours (Å) after each atom.
Sites, in units of the cell vectors:
Li 0.6643 0.3285 0.6676  2 Li 2.99-3.02, 4 Zn 3.05-3.18, 8 Hg 3.09-3.18
Li 0.0000 0.0000 0.0000  8 Hg 3.01-3.35, 2 Li 3.02, 4 Zn 3.13
Li 0.3357 0.6715 0.3324  2 Li 2.99-3.02, 4 Zn 3.05-3.18, 8 Hg 3.09-3.18
Zn 0.6092 0.2184 0.2843  5 Hg 2.65-2.93
Zn 0.3908 0.7816 0.7157  5 Hg 2.65-2.93
Hg 0.7036 0.4072 0.0549  2 Zn 2.66-2.91, 2 Hg 2.90
Hg 0.2964 0.5928 0.9451  2 Zn 2.66-2.91, 2 Hg 2.90
Hg 0.9336 0.8671 0.6098  3 Zn 2.65-2.93, 1 Hg 2.91
Hg 0.0664 0.1329 0.3902  3 Zn 2.65-2.93, 1 Hg 2.91



# 7
A plane-wave DFT calculation with PBE was carried out for LiZn2Hg6 after structural relaxation.

Results
DFT formation energy = -26 meV/atom
Energy = -0.723 eV per atom

Cell: 8.7978 8.0897 8.0897 Å, 70.59 57.05 57.05°
With the nearest neighbours (Å) after each atom.
Sites, in units of the cell vectors:
Li 0.5000 0.5000 0.5000  8 Hg 2.92-3.01
Li 0.0000 0.0000 0.0000  8 Hg 2.92-3.16
Zn 0.3670 0.1329 0.1329  1 Zn 2.62, 2 Hg 2.78
Zn 0.6330 0.8671 0.8671  1 Zn 2.62, 2 Hg 2.78
Zn 0.0000 0.3502 0.6498  1 Zn 2.80, 8 Hg 2.83-2.99
Zn 0.0000 0.6498 0.3502  1 Zn 2.80, 8 Hg 2.83-2.99
Hg 0.2687 0.1832 0.8167  3 Zn 2.83-2.96, 1 Li 2.92
Hg 0.7313 0.8168 0.1833  3 Zn 2.83-2.96, 1 Li 2.92
Hg 0.7313 0.1833 0.8168  3 Zn 2.83-2.96, 1 Li 2.92
Hg 0.2687 0.8167 0.1832  3 Zn 2.83-2.96, 1 Li 2.92
Hg 0.7406 0.4588 0.0600  2 Zn 2.92-3.00, 2 Li 3.01-3.16, 2 Hg 3.09
Hg 0.2594 0.5412 0.9400  2 Zn 2.92-3.00, 2 Li 3.01-3.16, 2 Hg 3.09
Hg 0.7406 0.0600 0.4588  2 Zn 2.92-3.00, 2 Li 3.01-3.16, 2 Hg 3.09
Hg 0.2594 0.9400 0.5412  2 Zn 2.92-3.00, 2 Li 3.01-3.16, 2 Hg 3.09
Hg 0.9433 0.3269 0.3269  3 Zn 2.78-2.99, 1 Li 2.92, 2 Hg 3.09
Hg 0.0567 0.6731 0.6731  3 Zn 2.78-2.99, 1 Li 2.92, 2 Hg 3.09
Hg 0.4029 0.3268 0.3268  3 Zn 2.78-2.99, 1 Li 2.93, 2 Hg 3.09
Hg 0.5971 0.6732 0.6732  3 Zn 2.78-2.99, 1 Li 2.93, 2 Hg 3.09



# 8
A plane-wave DFT calculation with PBE was carried out for Li2ZnHg after structural relaxation.

Results
DFT formation energy = -274 meV/atom
Energy = -1.625 eV per atom

Cell: 4.8343 4.8343 4.0862 Å, 65.00 65.00 51.95°
With the nearest neighbours (Å) after each atom.
Sites, in units of the cell vectors:
Zn 0.5021 0.5021 0.4980  8 Li 2.79-2.94, 4 Hg 2.82-2.84
Hg 0.2489 0.2489 0.2511  8 Li 2.80-2.94, 4 Zn 2.82-2.84
Li 0.9985 0.9985 0.0014  4 Li 2.79-2.87, 4 Hg 2.80-2.85, 4 Zn 2.94
Li 0.7504 0.7504 0.7495  4 Li 2.79-2.87, 4 Zn 2.79-2.87, 4 Hg 2.94



# 9
A plane-wave DFT calculation with PBE was carried out for LiZn2Hg after structural relaxation.

Results
DFT formation energy = -132 meV/atom
Energy = -1.322 eV per atom

Cell: 4.7155 4.7155 4.7155 Å, 125.57 125.48 80.67°
With the nearest neighbours (Å) after each atom.
Sites, in units of the cell vectors:
Zn 0.9998 0.9998 0.0000  4 Zn 2.81, 4 Li 2.81, 4 Hg 3.05
Zn 0.7500 0.2500 0.5000  4 Zn 2.81, 4 Hg 2.81, 4 Li 3.05
Hg 0.5001 0.5001 0.0000  8 Zn 2.81-3.05, 4 Li 2.81
Li 0.2500 0.7500 0.5000  4 Hg 2.81, 8 Zn 2.81-3.05



# 10
A plane-wave DFT calculation with PBE was carried out for Li2ZnHg after structural relaxation.

Results
DFT formation energy = -134 meV/atom
Energy = -1.485 eV per atom

Cell: 3.0787 3.0787 9.2233 Å, 80.39 80.39 60.00°
With the nearest neighbours (Å) after each atom.
Sites, in units of the cell vectors:
Li 0.0856 0.0856 0.7432  3 Zn 2.83, 3 Hg 2.93, 6 Li 3.08
Li 0.2477 0.2477 0.2568  3 Zn 2.83, 3 Hg 2.92, 6 Li 3.08
Zn 0.5002 0.5002 0.4994  6 Li 2.83, 6 Zn 3.08
Hg 0.6665 0.6665 0.0006  6 Li 2.92-2.93, 6 Hg 3.08



# 11
A plane-wave DFT calculation with PBE was carried out for Li6ZnHg2 after structural relaxation.

Results
DFT formation energy = -228 meV/atom
Energy = -1.712 eV per atom
Polymorph energy (0 for the lowest one) = 24 meV/atom

Cell: 5.3957 7.8258 5.3074 Å, 137.50 94.13 90.00°
With the nearest neighbours (Å) after each atom.
Sites, in units of the cell vectors:
Li 0.1675 0.4999 0.3318  5 Li 2.60-2.84
Li 0.8325 0.1681 0.6682  5 Li 2.60-2.84
Li 0.8325 0.5001 0.6682  5 Li 2.60-2.84
Li 0.5000 0.1689 0.0000  5 Li 2.60-2.84
Li 0.1675 0.8319 0.3318  5 Li 2.60-2.84
Li 0.5000 0.8311 0.0000  5 Li 2.60-2.84
Zn 0.0000 0.0000 0.0000  2 Hg 2.75, 12 Li 2.95-3.00
Hg 0.6775 0.6764 0.3529  1 Zn 2.75, 12 Li 2.92-3.04, 1 Hg 3.01
Hg 0.3225 0.3236 0.6471  1 Zn 2.75, 12 Li 2.92-3.04, 1 Hg 3.01